(1)
NaH4Ru | PBE-GGA | relaxed

Results
The distance to the lowest polymorph of the same formula is 62.3 kJ/mol of formula units. Its space-group type is P2_1/c (14). Its density of states at the Fermi level is 0.41 states/eV/atom. The final energy comes out at -3.939 eV/atom. The total magnetization comes out at 0.52 μB/f.u.

abc: 4.6310 4.5663 4.5776
angles: 90.00 90.74 90.00
Last column: nearest neighbours and their distance in Å.
Positions (direct):
1 Na 0.0000 0.0000 0.0000  10 H 2.33-2.37
2 Na 0.0000 0.5000 0.5000  10 H 2.33-2.37
3 H 0.1230 0.0045 0.4999  1 H 1.14
4 H 0.1230 0.4955 0.9999  1 H 1.14
5 H 0.4559 0.6545 0.3441  2 Ru 1.74
6 H 0.4559 0.8455 0.8441  2 Ru 1.74
7 H 0.5441 0.1545 0.1559  2 Ru 1.74
8 H 0.5441 0.3455 0.6559  2 Ru 1.74
9 H 0.8770 0.5045 0.0001  1 H 1.14
10 H 0.8770 0.9955 0.5001  1 H 1.14
11 Ru 0.5000 0.0000 0.5000  6 H 1.74-1.75
12 Ru 0.5000 0.5000 0.0000  6 H 1.74-1.75



(2)
CuGeRh2 | PBE-GGA | relaxed

Results
Its space-group type is I-42d (122). Its density of states at the Fermi level is 1.41 states/eV/atom. The final energy comes out at -5.686 eV/atom. The total magnetization comes out at 0.00 μB/f.u.

abc: 9.0326 9.0326 9.0326
angles: 155.83 155.83 34.44
Last column: nearest neighbours and their distance in Å.
Positions (direct):
1 Cu 0.0000 0.0000 0.0000  4 Rh 2.52, 4 Ge 2.67
2 Cu 0.7500 0.2500 0.5000  4 Rh 2.52, 4 Ge 2.67
3 Ge 0.2500 0.7500 0.5000  4 Rh 2.55, 4 Cu 2.67
4 Ge 0.5000 0.5000 0.0000  4 Rh 2.55, 4 Cu 2.67
5 Rh 0.1144 0.6250 0.9894  2 Cu 2.52, 2 Ge 2.55, 4 Rh 2.62-2.73
6 Rh 0.3750 0.3644 0.4894  2 Cu 2.52, 2 Ge 2.55, 4 Rh 2.62-2.73
7 Rh 0.6356 0.1250 0.0106  2 Cu 2.52, 2 Ge 2.55, 4 Rh 2.62-2.73
8 Rh 0.8750 0.8856 0.5106  2 Cu 2.52, 2 Ge 2.55, 4 Rh 2.62-2.73



(3)
MgSc4Tl3 | PBE-GGA | relaxed

Results
Its space-group type is I4/mmm (139). Its density of states at the Fermi level is 1.07 states/eV/atom. The final energy comes out at -4.479 eV/atom. The total magnetization comes out at 0.00 μB/f.u.

abc: 8.0266 8.0266 8.0266
angles: 143.16 143.16 53.09
Last column: nearest neighbours and their distance in Å.
Positions (direct):
1 Mg 0.0000 0.0000 0.0000  8 Sc 3.11
2 Sc 0.1250 0.6250 0.5000  6 Tl 3.06-3.15, 2 Mg 3.11
3 Sc 0.3750 0.8750 0.5000  6 Tl 3.06-3.15, 2 Mg 3.11
4 Sc 0.6250 0.1250 0.5000  6 Tl 3.06-3.15, 2 Mg 3.11
5 Sc 0.8750 0.3750 0.5000  6 Tl 3.06-3.15, 2 Mg 3.11
6 Tl 0.2448 0.2448 0.0000  8 Sc 3.06-3.15
7 Tl 0.5000 0.5000 0.0000  8 Sc 3.11
8 Tl 0.7552 0.7552 0.0000  8 Sc 3.06-3.15



(4)
CrSi4W | PBE-GGA | relaxed

Results
The distance to the lowest polymorph of the same formula is 465.1 kJ/mol of formula units. Its space-group type is F-43m (216). Its density of states at the Fermi level is 0.66 states/eV/atom. The final energy comes out at -6.917 eV/atom. The total magnetization comes out at 1.87 μB/f.u. Its uncorrected formation energy is 0.461 eV/atom.

abc: 4.7925 4.7925 4.7925
angles: 60.00 60.00 60.00
Last column: nearest neighbours and their distance in Å.
Positions (direct):
1 Cr 0.0000 0.0000 0.0000  12 Si 2.81, 4 W 2.93
2 Si 0.1242 0.6253 0.6253  6 Si 2.39-2.40
3 Si 0.6253 0.1242 0.6253  6 Si 2.39-2.40
4 Si 0.6253 0.6253 0.1242  6 Si 2.39-2.40
5 Si 0.6253 0.6253 0.6253  6 Si 2.39-2.40
6 W 0.2500 0.2500 0.2500  12 Si 2.81, 4 Cr 2.93



(5)
KSc3Rh | PBE-GGA | relaxed

Results
The distance to the lowest polymorph of the same formula is 0.0 kJ/mol of formula units. Its space-group type is Pm-3m (221). Its density of states at the Fermi level is 1.42 states/eV/atom. The final energy comes out at -5.538 eV/atom. The total magnetization comes out at 0.00 μB/f.u.

abc: 5.1966 5.1966 5.1966
angles: 90.00 90.00 90.00
Last column: nearest neighbours and their distance in Å.
Positions (direct):
1 K 0.0000 0.0000 0.0000  12 Sc 3.67
2 Sc 0.0000 0.5000 0.5000  2 Rh 2.60
3 Sc 0.5000 0.0000 0.5000  2 Rh 2.60
4 Sc 0.5000 0.5000 0.0000  2 Rh 2.60
5 Rh 0.5000 0.5000 0.5000  6 Sc 2.60



(6)
SrCd2GaPd2 | PBE-GGA | relaxed

Results
Its space-group type is P4/mmm (123). Its density of states at the Fermi level is 0.59 states/eV/atom. The final energy comes out at -3.221 eV/atom. The total magnetization comes out at 0.00 μB/f.u.

abc: 4.8223 4.8223 6.1019
angles: 90.00 90.00 90.00
Last column: nearest neighbours and their distance in Å.
Positions (direct):
1 Sr 0.0000 0.0000 0.0000  2 Ga 3.05
2 Cd 0.5000 0.5000 0.2416  4 Pd 2.88, 2 Cd 2.95-3.15
3 Cd 0.5000 0.5000 0.7584  4 Pd 2.88, 2 Cd 2.95-3.15
4 Ga 0.0000 0.0000 0.5000  4 Pd 2.41
5 Pd 0.0000 0.5000 0.5000  2 Ga 2.41
6 Pd 0.5000 0.0000 0.5000  2 Ga 2.41